A plane-wave DFT calculation with PBE-GGA was carried out for CdHgOs2Cl after structural relaxation.

Properties
- Space group: P4/mmm (123)
- Calculated total energy: -2.840 eV per atom
- Raw formation energy: 2.26 eV per atom
- N(E_F): 1.20 states/eV per atom

abc: 5.1465 5.1465 5.2384
angles: 90.00 90.00 90.00
Closest atoms and distances in Å follow each position.
Fractional coordinates of all 5 atoms:
Cd 0.0000 0.0000 0.0000  4 Cl 3.64, 8 Os 3.67
Hg 0.5000 0.5000 0.5000  4 Os 2.57, 2 Cl 2.62
Os 0.0000 0.5000 0.5000  2 Hg 2.57
Os 0.5000 0.0000 0.5000  2 Hg 2.57
Cl 0.5000 0.5000 0.0000  2 Hg 2.62